1.
A plane-wave DFT calculation with PBE was carried out for an optimized crystal structure of DyAgPbCl6.

```
DyAgPbCl6
1.0
6.9135 0.0000 0.0000
-3.4567 5.9872 0.0000
0.0000 0.0000 12.7671
Ag Cl Dy Pb
2 12 2 2
Cartesian
3.4567 1.9957 9.5753 Ag
0.0000 3.9915 3.1918 Ag
2.1791 3.9440 8.0512 Cl
-1.0484 5.9024 8.0512 Cl
-2.1791 3.9440 11.0995 Cl
4.5051 0.0848 4.7160 Cl
1.2776 2.0433 4.7160 Cl
1.1307 2.1281 11.0995 Cl
1.0484 5.9024 11.0995 Cl
2.4083 0.0848 1.6676 Cl
2.3260 3.8592 1.6676 Cl
5.6359 2.0433 1.6676 Cl
-1.1307 2.1281 8.0512 Cl
4.5875 3.8592 4.7160 Cl
0.0000 3.9915 9.5753 Dy
3.4567 1.9957 3.1918 Dy
0.0000 0.0000 0.0000 Pb
0.0000 0.0000 6.3836 Pb
```

ρ, g/cm3: 4.3
Formation energy from raw total energies, eV per atom: -1.49

***

2.
A plane-wave DFT calculation with PBE was carried out for an optimized crystal structure of Rb2LiPaS4.

```
Rb2LiPaS4
1.0
-3.5483 -0.5745 2.1415
-3.1000 -2.1789 -5.7208
3.1524 -6.3809 3.5115
S Rb Li Pa
4 2 1 1
Cartesian
-1.8711 -1.9513 0.4638 S
-1.7445 -2.8549 -3.6563 S
1.7969 -5.7050 1.4470 S
-1.6248 -7.1830 -0.5316 S
0.0262 -4.2799 -1.1047 Rb
-0.1979 -3.4777 2.8265 Rb
-3.3241 -1.3767 -1.7897 Li
0.0000 0.0000 0.0000 Pa
```

ρ, g/cm3: 4.1
Formation energy from raw total energies, eV per atom: -1.44